Computed, not measured: an optimized crystal structure of Sr2Si2Pb at the PBE level of DFT.

Calculated values
- Density: 5.17 g/cm³
- E_form (uncorrected): -212 kJ/mol of formula units
- E_tot: -4.02 eV per atom
- Spin magnetization: 0.000 μB per formula unit

```
data_Sr2Si2Pb
_cell_length_a 3.9515
_cell_length_b 15.3549
_cell_length_c 4.6420
_cell_angle_alpha 90.00
_cell_angle_beta 90.00
_cell_angle_gamma 90.00
_symmetry_space_group_name_H-M 'C m m m'
_symmetry_Int_Tables_number 65
_symmetry_space_group_name_Hall '-C 2 2'
loop_
_atom_site_label
_atom_site_type_symbol
_atom_site_fract_x
_atom_site_fract_y
_atom_site_fract_z
_atom_site_occupancy
Sr1 Sr 0.0000 0.1330 0.0000 1
Si1 Si 0.0000 0.2949 0.5000 1
Pb1 Pb 0.0000 0.5000 0.5000 1
```